AlCu2Ni: relaxed, PBE-GGA.

Cell lengths 5.779, 5.779, 5.779 Å; angles 90.00, 90.00, 90.00 degrees
Space group F-43m (No. 216)
Inequivalent atoms, fractional coordinates:
1 Al 0.000 0.000 0.000 x4
2 Cu 0.000 0.000 0.500 x4
3 Cu 0.250 0.250 0.750 x4
4 Ni 0.250 0.250 0.250 x4

Calculated values
The calculation puts the formation enthalpy at 0 K at -0.27 eV/atom. The volume is 12.06 Å³/atom.